Density functional theory data (PBE) for an optimized crystal structure of KMnOs3.

abc: 4.5559 4.5559 4.5559
angles: 90.00 90.00 90.00
Closest atoms and distances in Å follow each position.
Positions (direct):
Mn  0.0000  0.0000  0.0000  6 Os 2.28
Os  0.5000  0.0000  0.0000  2 Mn 2.28
Os  0.0000  0.5000  0.0000  2 Mn 2.28
K  0.5000  0.5000  0.5000  12 Os 3.22
Os  0.0000  0.0000  0.5000  2 Mn 2.28

Total magnetization ... 0.076 μB per atom
Energy above the most stable polymorph in this dataset ... 0.0 meV per atom
D(E_F) ... 4.69 states/eV/cell
DFT formation energy ... 1.789 eV/atom

=====

Density functional theory data (PBE) for an optimized crystal structure of KMn2Os.

abc: 4.6764 4.6764 4.6764
angles: 60.00 60.00 60.00
Closest atoms and distances in Å follow each position.
Positions (direct):
Mn  0.0000  0.0000  0.0000  4 Mn 2.86, 4 Os 2.86
Os  0.7500  0.7500  0.7500  4 K 2.86, 4 Mn 2.86
Mn  0.2500  0.2500  0.2500  4 Mn 2.86, 4 K 2.86
K  0.5000  0.5000  0.5000  4 Os 2.86, 4 Mn 2.86

Total magnetization ... 2.035 μB per atom
Energy above the most stable polymorph in this dataset ... 854.2 meV per atom
D(E_F) ... 7.83 states/eV/cell
DFT formation energy ... 1.531 eV/atom

=====

Density functional theory data (PBE) for an optimized crystal structure of KMn3Os.

abc: 4.1070 4.1070 4.1070
angles: 90.00 90.00 90.00
Closest atoms and distances in Å follow each position.
Positions (direct):
Mn  0.0000  0.5000  0.0000  2 K 2.05
K  0.0000  0.0000  0.0000  6 Mn 2.05
Os  0.5000  0.5000  0.5000  12 Mn 2.90
Mn  0.0000  0.0000  0.5000  2 K 2.05
Mn  0.5000  0.0000  0.0000  2 K 2.05

Total magnetization ... 0.000 μB per atom
Energy above the most stable polymorph in this dataset ... 1993.2 meV per atom
D(E_F) ... 10.18 states/eV/cell
DFT formation energy ... 2.998 eV/atom

=====

Density functional theory data (PBE) for an optimized crystal structure of KMnOs3.

abc: 4.4819 4.4819 4.4819
angles: 90.00 90.00 90.00
Closest atoms and distances in Å follow each position.
Positions (direct):
Os  0.0000  0.5000  0.0000  2 K 2.24
Os  0.0000  0.0000  0.5000  2 K 2.24
Os  0.5000  0.0000  0.0000  2 K 2.24
Mn  0.5000  0.5000  0.5000  12 Os 3.17
K  0.0000  0.0000  0.0000  6 Os 2.24

Total magnetization ... 0.063 μB per atom
Energy above the most stable polymorph in this dataset ... 2342.3 meV per atom
D(E_F) ... 9.22 states/eV/cell
DFT formation energy ... 4.131 eV/atom

=====

Density functional theory data (PBE) for an optimized crystal structure of KMn4Os.

abc: 4.9138 4.9138 4.9138
angles: 60.00 60.00 60.00
Closest atoms and distances in Å follow each position.
Positions (direct):
Os  0.7500  0.7500  0.7500  12 Mn 2.88, 4 K 3.01
Mn  0.3751  0.8748  0.3751  6 Mn 2.46
Mn  0.3751  0.3751  0.8748  6 Mn 2.46
K  0.0000  0.0000  0.0000  12 Mn 2.88, 4 Os 3.01
Mn  0.3751  0.3751  0.3751  6 Mn 2.46
Mn  0.8748  0.3751  0.3751  6 Mn 2.46

Total magnetization ... 0.744 μB per atom
D(E_F) ... 7.91 states/eV/cell
DFT formation energy ... 1.087 eV/atom

=====

Density functional theory data (PBE) for an optimized crystal structure of K2MnOs.

abc: 3.8756 2.8820 10.4864
angles: 76.39 90.00 90.00
Closest atoms and distances in Å follow each position.
Positions (direct):
Mn  0.0000  0.3993  0.5916  4 Os 2.51
K  0.0000  0.1284  0.9145  2 K 2.88
Os  0.5000  0.8408  0.6599  4 Mn 2.51
K  0.5000  0.1315  0.3340  2 K 2.88

Total magnetization ... 0.709 μB per atom
Energy above the most stable polymorph in this dataset ... 0.0 meV per atom
D(E_F) ... 2.68 states/eV/cell
DFT formation energy ... 0.725 eV/atom

=====

- Which of these has the highest total magnetization?
  KMn2Os

=====

- Among the records above, which one has the highest total magnetization?
  KMn2Os

=====

- D(E_F) of number 1 (KMnOs3)?
  4.69 states/eV/cell

=====

- Look up the DFT formation energy of the first one.
  1.789 eV/atom